VASP calculation (PBE+U) on a geometry-optimized CrInTeO5 structure.

Cell lengths 7.0401, 10.2182, 7.2996 Å; angles 90.00, 105.13, 90.00 degrees
Closest atoms and distances in Å follow each position.
Space group C2/c (No. 15)
Asymmetric unit:
Cr  0.0000  0.0095  0.2500  3 O 1.81-1.87
In  0.2500  0.2500  0.5000  6 O 2.14-2.27
Te  0.0000  0.4993  0.7500  2 O 1.91
O  0.0000  0.1869  0.2500  1 Cr 1.81
O  0.0302  0.3689  0.5717  1 Te 1.91, 1 In 2.14
O  0.1831  0.0634  0.6344  1 Cr 1.87

* electronic total energy: -5.95 eV per atom